VASP calculation (PBE) on an optimized crystal structure of RbBeTe2.

As for the energy: -2.98 eV per atom. For the density of states at the Fermi level, the calculation gives 10.63 states/eV per cell.

The space group is R-3m (No. 166, hexagonal axes) and the conventional cell measures 6.7443, 6.7443 and 12.2043 Å, with angles of 90.00, 90.00 and 120.00 degrees. The asymmetric unit holds Rb at (0.0000, 0.0000, 0.0000), Be at (0.0000, 0.0000, 0.5000) and Te at (0.0000, 0.0000, 0.3183).

---

VASP calculation (PBE) on an optimized crystal structure of Ac6CdPb5.

For the energy of formation, the calculation gives -0.456 eV/atom. For the density of states at the Fermi level, the calculation gives 20.63 states/eV per cell.

The space group is Immm (No. 71) and the conventional cell measures 5.560, 9.176 and 16.657 Å, with angles of 90.00, 90.00 and 90.00 degrees. The asymmetric unit holds Ac at (0.000, 0.244, 0.000), Ac at (0.000, 0.253, 0.332), Cd at (0.000, 0.500, 0.500), Pb at (0.000, 0.000, 0.165), Pb at (0.000, 0.000, 0.500) and Pb at (0.000, 0.500, 0.162).

---

VASP calculation (PBE) on an optimized crystal structure of La5Nd4Tm.

For the energy of formation, the calculation gives 0.037 eV/atom. For the density of states at the Fermi level, the calculation gives 30.11 states/eV per cell.

The space group is C2/m (No. 12) and the conventional cell measures 17.691, 3.646 and 11.746 Å, with angles of 90.00, 109.52 and 90.00 degrees. The asymmetric unit holds La at (0.000, 0.000, 0.000), La at (0.191, 0.500, 0.087), La at (0.205, 0.500, 0.607), Nd at (0.083, 0.500, 0.295), Nd at (0.106, 0.000, 0.798) and Tm at (0.000, 0.000, 0.500).

---

VASP calculation (PBE) on an optimized crystal structure of SmNi3P3.

For the energy of formation, the calculation gives -0.627 eV/atom. For the density of states at the Fermi level, the calculation gives 9.33 states/eV per cell.

The space group is Pm-3n (No. 223) and the conventional cell measures 6.127, 6.127 and 6.127 Å, with angles of 90.00, 90.00 and 90.00 degrees. The asymmetric unit holds Sm at (0.000, 0.000, 0.000), Ni at (0.000, 0.250, 0.500) and P at (0.000, 0.500, 0.250).

---

VASP calculation (PBE) on an optimized crystal structure of CdCu2Hg.

For the energy of formation, the calculation gives 0.204 eV/atom. For the density of states at the Fermi level, the calculation gives 3.49 states/eV per cell.

The space group is R-3m (No. 166, hexagonal axes) and the conventional cell measures 2.9740, 2.9740 and 26.8784 Å, with angles of 90.00, 90.00 and 120.00 degrees. The asymmetric unit holds Cd at (0.0000, 0.0000, 0.0000), Cu at (0.0000, 0.0000, 0.2504) and Hg at (0.0000, 0.0000, 0.5000).

---

VASP calculation (PBE) on an optimized crystal structure of Cr2FeIrAu.

For the energy of formation, the calculation gives 2.360 eV/atom. For the density of states at the Fermi level, the calculation gives 10.99 states/eV per cell.

The space group is P4/mmm (No. 123) and the conventional cell measures 4.520, 4.520 and 4.516 Å, with angles of 90.00, 90.00 and 90.00 degrees. The asymmetric unit holds Cr at (0.000, 0.500, 0.000), Fe at (0.000, 0.000, 0.500), Ir at (0.500, 0.500, 0.500) and Au at (0.000, 0.000, 0.000).